Compound: YFeMo2
Source: Alexandria via LeMat-Bulk
Functional: PBE
Structure: optimized geometry

Its energy above the lowest structure with this stoichiometry is 1.479 eV/f.u.

Unit cell a=5.489 b=5.489 c=2.732 alpha=90.00 beta=90.00 gamma=121.59
Last column: magnetic moment on the atom in μB.
Atoms (fractional coordinates):
Y 0.500 0.000 0.500  -0.14
Fe 0.000 0.500 0.500  2.42
Mo 0.000 0.000 0.000  0.01
Mo 0.500 0.500 0.000  0.01


Compound: YFe2Mo
Source: Alexandria via LeMat-Bulk
Functional: PBE
Structure: optimized geometry

Its energy above the lowest structure with this stoichiometry is 0.352 eV/f.u.

Unit cell a=3.075 b=3.075 c=6.989 alpha=90.00 beta=90.00 gamma=90.00
Last column: magnetic moment on the atom in μB.
Atoms (fractional coordinates):
Mo 0.000 0.000 0.437  -0.24
Fe 0.500 0.500 0.241  1.90
Y 0.500 0.500 0.762  -0.13
Fe 0.000 0.000 0.060  2.47


Compound: YFeMo2
Source: Alexandria via LeMat-Bulk
Functional: PBE
Structure: optimized geometry

Its energy above the lowest structure with this stoichiometry is 0.534 eV/f.u.

Unit cell a=4.202 b=2.956 c=5.935 alpha=77.49 beta=90.00 gamma=90.00
Last column: magnetic moment on the atom in μB.
Atoms (fractional coordinates):
Mo 0.000 0.010 0.998  -0.14
Y 0.000 0.497 0.507  -0.15
Fe 0.500 0.773 0.802  2.04
Mo 0.500 0.221 0.193  -0.04


Compound: YFe2Mo2
Source: Alexandria via LeMat-Bulk
Functional: PBE
Structure: optimized geometry

Its energy above the lowest structure with this stoichiometry is 1.454 eV/f.u.

Unit cell a=7.529 b=7.529 c=2.760 alpha=90.00 beta=90.00 gamma=90.00
Atoms (fractional coordinates):
Fe 0.360 0.140 0.500
Mo 0.854 0.646 0.000
Mo 0.646 0.146 0.000
Mo 0.146 0.354 0.000
Mo 0.354 0.854 0.000
Fe 0.860 0.360 0.500
Fe 0.640 0.860 0.500
Y 0.500 0.500 0.000
Y 0.000 0.000 0.000
Fe 0.140 0.640 0.500


Compound: YFeMo2
Source: Alexandria via LeMat-Bulk
Functional: PBE
Structure: optimized geometry

Its energy above the lowest structure with this stoichiometry is 0.506 eV/f.u.

Unit cell a=3.219 b=3.220 c=6.975 alpha=90.00 beta=90.00 gamma=90.00
Last column: magnetic moment on the atom in μB.
Atoms (fractional coordinates):
Mo 0.000 0.000 0.928  -0.08
Fe 0.500 0.500 0.750  1.82
Y 0.500 0.500 0.250  0.01
Mo 0.000 0.000 0.572  -0.08


Compound: YFe2Mo2
Source: Alexandria via LeMat-Bulk
Functional: PBE
Structure: optimized geometry

Its energy above the lowest structure with this stoichiometry is 1.206 eV/f.u.

Unit cell a=4.214 b=4.214 c=5.725 alpha=68.40 beta=68.40 gamma=90.00
Atoms (fractional coordinates):
Fe 0.250 0.750 0.500
Fe 0.750 0.250 0.500
Y 0.000 0.000 0.000
Mo 0.365 0.365 0.270
Mo 0.635 0.635 0.730


Compound: ZnFeMo
Source: Alexandria via LeMat-Bulk
Functional: PBE
Structure: optimized geometry

Its energy above the lowest structure with this stoichiometry is 0.091 eV/f.u.

Unit cell a=6.438 b=6.438 c=6.438 alpha=156.67 beta=156.67 gamma=33.23
Last column: magnetic moment on the atom in μB.
Atoms (fractional coordinates):
Zn 0.660 0.660 0.000  -0.03
Mo 0.335 0.335 0.000  0.01
Fe 0.005 0.005 0.000  2.48


Compound: ZnFe6Mo
Source: Alexandria via LeMat-Bulk
Functional: PBE
Structure: optimized geometry

Unit cell a=6.334 b=6.334 c=10.346 alpha=90.00 beta=90.00 gamma=110.17
Last column: magnetic moment on the atom in μB.
Atoms (fractional coordinates):
Fe 0.251 0.749 0.997  2.13
Zn 0.500 0.500 0.000  -0.07
Fe 0.500 0.500 0.750  2.44
Fe 0.873 0.621 0.874  2.31
Fe 0.131 0.379 0.375  1.85
Mo 0.757 0.243 0.250  -0.85
Fe 0.379 0.131 0.375  1.85
Mo 0.243 0.757 0.250  -0.85
Fe 0.873 0.621 0.626  2.31
Fe 0.379 0.127 0.874  2.31
Fe 0.621 0.869 0.375  1.85
Fe 0.621 0.873 0.626  2.31
Fe 0.621 0.873 0.874  2.31
Fe 0.379 0.131 0.125  1.85
Zn 0.500 0.500 0.500  -0.07
Fe 0.127 0.379 0.626  2.31
Zn 0.248 0.752 0.750  -0.07
Fe 0.379 0.127 0.626  2.31
Fe 0.251 0.749 0.503  2.13
Fe 0.127 0.379 0.874  2.31
Fe 0.749 0.251 0.503  2.13
Fe 0.621 0.869 0.125  1.85
Fe 0.500 0.500 0.250  2.05
Fe 0.749 0.251 0.997  2.13
Zn 0.752 0.248 0.750  -0.07
Fe 0.000 0.000 0.250  1.10
Fe 0.869 0.621 0.125  1.85
Fe 0.000 0.000 0.750  2.35
Mo 0.000 0.000 0.006  -0.90
Fe 0.869 0.621 0.375  1.85
Mo 0.000 0.000 0.494  -0.90
Fe 0.131 0.379 0.125  1.85


Compound: ZnFeMo3
Source: Alexandria via LeMat-Bulk
Functional: PBE
Structure: optimized geometry

Its energy above the lowest structure with this stoichiometry is 0.000 eV/f.u.

Unit cell a=4.454 b=4.454 c=4.454 alpha=90.00 beta=90.00 gamma=90.00
Atoms (fractional coordinates):
Mo 0.500 0.000 0.000
Mo 0.000 0.000 0.500
Fe 0.000 0.000 0.000
Mo 0.000 0.500 0.000
Zn 0.500 0.500 0.500


Compound: ZnFeMo
Source: Alexandria via LeMat-Bulk
Functional: PBE
Structure: optimized geometry

Its energy above the lowest structure with this stoichiometry is 0.379 eV/f.u.

Unit cell a=2.564 b=5.324 c=9.087 alpha=129.28 beta=81.89 gamma=76.07
Last column: magnetic moment on the atom in μB.
Atoms (fractional coordinates):
Zn 0.655 0.886 0.804  -0.01
Zn 0.345 0.114 0.196  -0.01
Fe 0.612 0.264 0.512  2.28
Mo 0.898 0.383 0.821  -0.09
Mo 0.102 0.617 0.179  -0.09
Fe 0.388 0.736 0.488  2.28


Compound: ZnFeMo
Source: Alexandria via LeMat-Bulk
Functional: PBE
Structure: optimized geometry

Its energy above the lowest structure with this stoichiometry is 0.956 eV/f.u.

Unit cell a=4.023 b=4.023 c=4.023 alpha=60.00 beta=60.00 gamma=60.00
Last column: magnetic moment on the atom in μB.
Atoms (fractional coordinates):
Mo 0.000 0.000 0.000  -0.03
Zn 0.500 0.500 0.500  0.06
Fe 0.750 0.750 0.750  1.39


Compound: ZnFe2Mo2
Source: Alexandria via LeMat-Bulk
Functional: PBE
Structure: optimized geometry

Unit cell a=7.008 b=7.008 c=2.788 alpha=90.00 beta=90.00 gamma=90.00
Atoms (fractional coordinates):
Fe 0.372 0.872 0.000
Mo 0.832 0.332 0.500
Mo 0.332 0.168 0.500
Zn 0.000 0.000 0.000
Fe 0.628 0.128 0.000
Mo 0.668 0.832 0.500
Fe 0.128 0.372 0.000
Zn 0.500 0.500 0.000
Fe 0.872 0.628 0.000
Mo 0.168 0.668 0.500


| no. | size of the total moment (μB per formula unit) | final energy (eV per atom) |
| --- | --- | --- |
| 1 | 2.24 | -8.535 |
| 2 | 3.93 | -8.295 |
| 3 | 1.62 | -8.771 |
| 4 | 0.00 | -8.682 |
| 5 | 1.65 | -8.778 |
| 6 | 0.00 | -8.731 |
| 7 | 2.47 | -6.715 |
| 8 | 11.44 | -7.773 |
| 9 | 0.00 | -7.324 |
| 10 | 2.19 | -6.619 |
| 11 | 1.55 | -6.427 |
| 12 | 0.00 | -7.804 |